Record 1
K2Rb2H4Pd after structural relaxation. Source: Alexandria via LeMat-Bulk, functional PBE.

space group	I4/mmm
total DFT energy (no corrections)	-22.670	eV/f.u.
density of states at the Fermi level	1.603	states/eV per cell

Cell lengths 7.0454, 7.0454, 7.0454 Å; angles 98.23, 115.37, 115.37 degrees
With the nearest neighbours (Å) after each atom.
Positions (direct):
Rb (0.5000, 0.7500, 0.2500)  8 H 3.65, 4 K 3.81
Rb (0.5000, 0.2500, 0.7500)  8 H 3.65, 4 K 3.81
K (0.0000, 0.3125, 0.3125)  1 Pd 2.88
K (0.0000, 0.6875, 0.6875)  1 Pd 2.88
H (0.0000, 0.1586, 0.8414)  1 Pd 1.69
H (0.0000, 0.8414, 0.1586)  1 Pd 1.69
H (0.6828, 0.8414, 0.8414)  1 Pd 1.69
H (0.3172, 0.1586, 0.1586)  1 Pd 1.69
Pd (0.0000, 0.0000, 0.0000)  4 H 1.69

---

Record 2
K2RbH6Pd after structural relaxation. Source: Alexandria via LeMat-Bulk, functional PBE.

space group	P-3m1
total DFT energy (no corrections)	-30.271	eV/f.u.
density of states at the Fermi level	2.439	states/eV per cell

Cell lengths 7.2723, 5.7266, 5.7266 Å; angles 120.00, 90.00, 90.00 degrees
With the nearest neighbours (Å) after each atom.
Positions (direct):
K (0.1378, 0.3333, 0.6667)  9 H 2.78-2.88
K (0.8622, 0.6667, 0.3333)  9 H 2.78-2.88
Pd (0.0000, 0.0000, 0.0000)  6 H 1.67
H (0.8652, 0.1361, 0.2723)  1 Pd 1.67
H (0.1348, 0.8639, 0.7277)  1 Pd 1.67
H (0.1348, 0.2723, 0.1361)  1 Pd 1.67
H (0.8652, 0.1361, 0.8639)  1 Pd 1.67
H (0.1348, 0.8639, 0.1361)  1 Pd 1.67
H (0.8652, 0.7277, 0.8639)  1 Pd 1.67
Rb (0.5000, 0.0000, 0.0000)  6 H 2.98